Density functional theory data (GGA-PBE) for a geometry-optimized NbRe4Ru2 structure.

**Crystal system**: tetragonal
**Total energy**: -9.187 eV per atom
**DFT formation energy**: 2.015 eV per atom
**Theoretical density**: 12.712 g/cm³
**Total magnetic moment**: 0.89 μB per cell

Cell lengths 4.6611, 4.6611, 12.5043 Å; angles 90.00, 90.00, 90.00 degrees
Closest atoms and distances in Å follow each position.
Space group I4/mmm (No. 139)
Symmetry-distinct sites (fractional):
Nb (0.0000, 0.0000, 0.0000) x2  6 Re 2.33-2.53
Re (0.0000, 0.0000, 0.2022) x4  1 Ru 2.33, 1 Nb 2.53
Re (0.0000, 0.5000, 0.0000) x4  2 Nb 2.33
Ru (0.0000, 0.0000, 0.3883) x4  1 Re 2.33



Density functional theory data (GGA-PBE) for a geometry-optimized LiIrOs structure.

**Crystal system**: orthorhombic
**Total energy**: -7.246 eV per atom
**DFT formation energy**: 0.089 eV per atom
**Theoretical density**: 16.052 g/cm³
**Total magnetic moment**: 0.00 μB per cell
**ΔE to the lowest computed polymorph**: 114 meV/atom

Cell lengths 2.7167, 3.8231, 7.7565 Å; angles 90.00, 90.00, 90.00 degrees
Closest atoms and distances in Å follow each position.
Space group Imm2 (No. 44)
Symmetry-distinct sites (fractional):
Li (0.0000, 0.0000, 0.0000) x2  5 Os 2.55-2.70, 5 Ir 2.57-2.69, 2 Li 2.72
Ir (0.0000, 0.0000, 0.3309) x2  5 Li 2.57-2.69, 5 Os 2.64-2.65, 2 Ir 2.72
Os (0.0000, 0.0000, 0.6716) x2  5 Li 2.55-2.70, 5 Ir 2.64-2.65, 2 Os 2.72



Density functional theory data (GGA-PBE) for a geometry-optimized AlCuIrO6 structure.

**Crystal system**: trigonal
**Total energy**: -6.286 eV per atom
**Theoretical density**: 6.838 g/cm³
**Total magnetic moment**: 0.65 μB per cell

Cell lengths 4.9587, 4.9587, 8.6389 Å; angles 90.00, 90.00, 120.00 degrees
Closest atoms and distances in Å follow each position.
Space group P-31c (No. 163)
Symmetry-distinct sites (fractional):
Al (0.3333, 0.6667, 0.2500) x2  6 O 1.90
Cu (0.0000, 0.0000, 0.0000) x2  6 O 2.08
Ir (0.3333, 0.6667, 0.7500) x2  6 O 1.93
O (0.0046, 0.3545, 0.1302) x12  1 Al 1.90, 1 Ir 1.93, 1 Cu 2.08



Density functional theory data (GGA-PBE) for a geometry-optimized Ta2Nb3Re structure.

**Crystal system**: orthorhombic
**Total energy**: -11.192 eV per atom
**DFT formation energy**: -0.132 eV per atom
**Theoretical density**: 13.047 g/cm³
**Total magnetic moment**: 0.00 μB per cell
**ΔE to the lowest computed polymorph**: 0 meV/atom

Cell lengths 4.6076, 13.8570, 6.5930 Å; angles 90.00, 90.00, 90.00 degrees
Closest atoms and distances in Å follow each position.
Space group Cmmm (No. 65)
Symmetry-distinct sites (fractional):
Ta (0.0000, 0.0000, 0.0000) x2  8 Nb 2.86-2.89
Ta (0.0000, 0.0000, 0.5000) x2  8 Nb 2.81-2.83
Ta (0.0000, 0.3333, 0.0000) x4  8 Nb 2.84-2.86
Nb (0.0000, 0.1690, 0.2576) x8  3 Re 2.78-2.80, 5 Ta 2.83-2.89
Nb (0.0000, 0.5000, 0.2559) x4  6 Ta 2.81-2.86, 2 Re 2.81
Re (0.0000, 0.3334, 0.5000) x4  8 Nb 2.78-2.81